A geometry-optimized Nd2Mg3Cd5 structure. Source: Alexandria via LeMat-Bulk, functional GGA-PBE.

Energy of formation = -0.17 eV/atom
Space group = No. 72
D(E_F) = 0.585 states/eV per atom
VASP energy = -2.06 eV per atom

abc: 6.3575 9.4714 9.4714
angles: 83.02 70.39 70.39
Positions (direct):
Mg (0.7500, 0.0000, 0.0000)
Mg (0.3739, 0.4914, 0.7608)
Mg (0.6261, 0.5086, 0.2392)
Mg (0.8739, 0.7608, 0.4914)
Mg (0.2500, 0.0000, 0.0000)
Mg (0.1261, 0.2392, 0.5086)
Nd (0.8750, 0.3812, 0.8687)
Nd (0.3750, 0.8687, 0.3812)
Nd (0.6250, 0.1313, 0.6188)
Nd (0.1250, 0.6188, 0.1313)
Cd (0.3781, 0.2717, 0.9722)
Cd (0.5066, 0.2434, 0.2434)
Cd (0.1219, 0.0278, 0.7283)
Cd (0.9934, 0.7566, 0.7566)
Cd (0.2500, 0.5000, 0.5000)
Cd (0.7500, 0.5000, 0.5000)
Cd (0.0066, 0.2434, 0.2434)
Cd (0.6219, 0.7283, 0.0278)
Cd (0.4934, 0.7566, 0.7566)
Cd (0.8781, 0.9722, 0.2717)

---

A geometry-optimized Nd3MgCd structure. Source: Alexandria via LeMat-Bulk, functional GGA-PBE.

Energy of formation = -0.07 eV/atom
Space group = No. 14
D(E_F) = 0.922 states/eV per atom
VASP energy = -3.43 eV per atom

abc: 7.0996 8.0319 10.8900
angles: 77.93 90.00 90.00
Positions (direct):
Nd (0.2425, 0.6351, 0.6060)
Nd (0.0166, 0.2188, 0.6713)
Nd (0.9856, 0.7880, 0.8416)
Nd (0.7425, 0.3649, 0.8940)
Nd (0.5166, 0.7812, 0.8287)
Nd (0.2575, 0.6351, 0.1060)
Nd (0.0144, 0.2120, 0.1584)
Nd (0.4834, 0.2188, 0.1713)
Nd (0.7575, 0.3649, 0.3940)
Nd (0.9834, 0.7812, 0.3287)
Nd (0.5144, 0.7880, 0.3416)
Nd (0.4856, 0.2120, 0.6584)
Mg (0.2527, 0.4118, 0.3895)
Mg (0.7473, 0.5882, 0.6105)
Mg (0.7527, 0.5882, 0.1105)
Mg (0.2473, 0.4118, 0.8895)
Cd (0.2693, 0.0462, 0.9550)
Cd (0.2307, 0.0462, 0.4550)
Cd (0.7693, 0.9538, 0.5450)
Cd (0.7307, 0.9538, 0.0450)